1.
Cs2TiCdMo | GGA-PBEsol | relaxed

The structure belongs to space group P4/mmm (No. 123); the cell edges are 6.835, 6.835 and 4.398 Å and the angles 90.00°, 90.00° and 90.00°. Symmetry generates all atoms from Cs at (0.000, 0.500, 0.000), Ti at (0.000, 0.000, 0.000), Cd at (0.500, 0.500, 0.500) and Mo at (0.000, 0.000, 0.500).

The density of states at the Fermi level is 1.19 states/eV per atom. Its formation energy is 1.31 eV/atom.

2.
CsCdTeN2 | GGA-PBEsol | relaxed

The structure belongs to space group P4/mmm (No. 123); the cell edges are 4.348, 4.348 and 7.394 Å and the angles 90.00°, 90.00° and 90.00°. Symmetry generates all atoms from Cs at (0.000, 0.000, 0.000), Cd at (0.500, 0.500, 0.500), Te at (0.000, 0.000, 0.500) and N at (0.000, 0.500, 0.000).

The formation energy (no corrections) is 10.063 eV per formula unit. The density of states at the Fermi level is 0.66 states/eV per atom.

3.
CsNa3Cd | GGA-PBEsol | relaxed

The structure belongs to space group Pm-3m (No. 221); the cell edges are 6.064, 6.064 and 6.064 Å and the angles 90.00°, 90.00° and 90.00°. Symmetry generates all atoms from Cs at (0.000, 0.000, 0.000), Na at (0.000, 0.500, 0.500) and Cd at (0.500, 0.500, 0.500).

The density of states at the Fermi level is 0.49 states/eV per atom. Its formation energy is 0.05 eV/atom.

4.
CsNa2Cd | GGA-PBEsol | relaxed

The structure belongs to space group I-42d (No. 122); the cell edges are 5.288, 5.288 and 24.783 Å and the angles 90.00°, 90.00° and 90.00°. Symmetry generates all atoms from Cs at (0.000, 0.000, 0.000), Na at (0.186, 0.250, 0.625) and Cd at (0.000, 0.000, 0.500).

The density of states at the Fermi level is 0.50 states/eV per atom. Its formation energy is 0.13 eV/atom.

5.
CsNdCdTe3 | GGA-PBEsol | relaxed

The structure belongs to space group Cmcm (No. 63); the cell edges are 4.532, 16.717 and 11.854 Å and the angles 90.00°, 90.00° and 90.00°. Symmetry generates all atoms from Cs at (0.000, 0.250, 0.250), Nd at (0.000, 0.000, 0.000), Cd at (0.000, 0.463, 0.750), Te at (0.000, 0.068, 0.750) and Te at (0.000, 0.373, 0.552).

The formation energy (no corrections) is -6.450 eV per formula unit. The density of states at the Fermi level is 0.00 states/eV per atom.

6.
CsCdNi3 | GGA-PBEsol | relaxed

The structure belongs to space group Pm-3m (No. 221); the cell edges are 4.748, 4.748 and 4.748 Å and the angles 90.00°, 90.00° and 90.00°. Symmetry generates all atoms from Cs at (0.000, 0.000, 0.000), Cd at (0.500, 0.500, 0.500) and Ni at (0.000, 0.000, 0.500).

The density of states at the Fermi level is 1.24 states/eV per atom. Its formation energy is 1.92 eV/atom.

7.
CsCd2NiRh | GGA-PBEsol | relaxed

The structure belongs to space group P4/mmm (No. 123); the cell edges are 5.909, 5.909 and 4.619 Å and the angles 90.00°, 90.00° and 90.00°. Symmetry generates all atoms from Cs at (0.000, 0.000, 0.000), Cd at (0.000, 0.500, 0.000), Ni at (0.000, 0.000, 0.500) and Rh at (0.500, 0.500, 0.500).

The density of states at the Fermi level is 1.38 states/eV per atom. Its formation energy is 2.14 eV/atom.

8.
CsCdP3O9 | GGA-PBEsol | relaxed

The structure belongs to space group Pnma (No. 62); the cell edges are 9.615, 7.538 and 12.644 Å and the angles 90.00°, 90.00° and 90.00°. Symmetry generates all atoms from Cs at (0.110, 0.250, 0.084), Cd at (0.015, 0.750, 0.221), P at (0.203, 0.250, 0.542), P at (0.248, 0.051, 0.350), O at (0.095, 0.250, 0.625), O at (0.120, 0.050, 0.869), O at (0.144, 0.514, 0.272), O at (0.144, 0.750, 0.067), O at (0.171, 0.085, 0.462) and O at (0.206, 0.750, 0.816).

The formation energy (no corrections) is -29.542 eV per formula unit. The density of states at the Fermi level is 0.00 states/eV per atom.

9.
Cs2CdP2O7 | GGA-PBEsol | relaxed

The structure belongs to space group Pnma (No. 62); the cell edges are 16.257, 5.517 and 9.985 Å and the angles 90.00°, 90.00° and 90.00°. Symmetry generates all atoms from Cs at (0.078, 0.250, 0.143), Cs at (0.108, 0.750, 0.533), Cd at (0.191, 0.750, 0.890), P at (0.089, 0.250, 0.762), P at (0.230, 0.750, 0.232), O at (0.024, 0.250, 0.654), O at (0.091, 0.019, 0.848), O at (0.176, 0.250, 0.675), O at (0.176, 0.750, 0.107) and O at (0.217, 0.520, 0.316).

The formation energy (no corrections) is -25.743 eV per formula unit. The density of states at the Fermi level is 0.00 states/eV per atom.

10.
CsCd3Os | GGA-PBEsol | relaxed

The structure belongs to space group Pm-3m (No. 221); the cell edges are 6.561, 6.561 and 6.561 Å and the angles 90.00°, 90.00° and 90.00°. Symmetry generates all atoms from Cs at (0.000, 0.000, 0.000), Cd at (0.000, 0.000, 0.500) and Os at (0.500, 0.500, 0.500).

The density of states at the Fermi level is 2.09 states/eV per atom. Its formation energy is 2.31 eV/atom.

11.
Cs3CdOs | GGA-PBEsol | relaxed

The structure belongs to space group Pm-3m (No. 221); the cell edges are 5.951, 5.951 and 5.951 Å and the angles 90.00°, 90.00° and 90.00°. Symmetry generates all atoms from Cs at (0.000, 0.000, 0.500), Cd at (0.500, 0.500, 0.500) and Os at (0.000, 0.000, 0.000).

The density of states at the Fermi level is 1.02 states/eV per atom. Its formation energy is 1.13 eV/atom.

12.
CsCdPS2 | GGA-PBEsol | relaxed

The structure belongs to space group P4/mmm (No. 123); the cell edges are 5.149, 5.149 and 5.011 Å and the angles 90.00°, 90.00° and 90.00°. Symmetry generates all atoms from Cs at (0.000, 0.000, 0.000), Cd at (0.500, 0.500, 0.500), P at (0.500, 0.500, 0.000) and S at (0.000, 0.500, 0.500).

The formation energy (no corrections) is 1.118 eV per formula unit. The density of states at the Fermi level is 1.02 states/eV per atom.

13.
Cs2Cd2Pb | GGA-PBEsol | relaxed

The structure belongs to space group I4/mmm (No. 139); the cell edges are 4.980, 4.980 and 15.439 Å and the angles 90.00°, 90.00° and 90.00°. Symmetry generates all atoms from Cs at (0.000, 0.500, 0.250), Cd at (0.000, 0.000, 0.086) and Pb at (0.000, 0.000, 0.500).

The density of states at the Fermi level is 0.66 states/eV per atom. Its formation energy is 0.31 eV/atom.

14.
CsCd2PdS | GGA-PBEsol | relaxed

The structure belongs to space group P4/mmm (No. 123); the cell edges are 5.635, 5.635 and 4.539 Å and the angles 90.00°, 90.00° and 90.00°. Symmetry generates all atoms from Cs at (0.000, 0.000, 0.000), Cd at (0.000, 0.500, 0.500), Pd at (0.500, 0.500, 0.000) and S at (0.500, 0.500, 0.500).

The formation energy (no corrections) is 0.438 eV per formula unit. The density of states at the Fermi level is 0.37 states/eV per atom.

15.
CsTlCdPd2 | GGA-PBEsol | relaxed

The structure belongs to space group P4/mmm (No. 123); the cell edges are 5.100, 5.100 and 6.036 Å and the angles 90.00°, 90.00° and 90.00°. Symmetry generates all atoms from Cs at (0.000, 0.000, 0.000), Tl at (0.500, 0.500, 0.000), Cd at (0.000, 0.000, 0.500) and Pd at (0.000, 0.500, 0.500).

The density of states at the Fermi level is 0.54 states/eV per atom. Its formation energy is 0.64 eV/atom.

16.
CsPrCdSe3 | GGA-PBEsol | relaxed

The structure belongs to space group Cmcm (No. 63); the cell edges are 4.335, 15.810 and 11.297 Å and the angles 90.00°, 90.00° and 90.00°. Symmetry generates all atoms from Cs at (0.000, 0.245, 0.250), Pr at (0.000, 0.500, 0.000), Cd at (0.000, 0.037, 0.750), Se at (0.000, 0.124, 0.554) and Se at (0.000, 0.436, 0.750).

The formation energy (no corrections) is -8.080 eV per formula unit. The density of states at the Fermi level is 0.00 states/eV per atom.

17.
Cs3CdPt | GGA-PBEsol | relaxed

The structure belongs to space group Pm-3m (No. 221); the cell edges are 6.590, 6.590 and 6.590 Å and the angles 90.00°, 90.00° and 90.00°. Symmetry generates all atoms from Cs at (0.000, 0.000, 0.500), Cd at (0.000, 0.000, 0.000) and Pt at (0.500, 0.500, 0.500).

The density of states at the Fermi level is 2.62 states/eV per atom. Its formation energy is 0.69 eV/atom.

18.
CsCd3Pt | GGA-PBEsol | relaxed

The structure belongs to space group Pm-3m (No. 221); the cell edges are 5.284, 5.284 and 5.284 Å and the angles 90.00°, 90.00° and 90.00°. Symmetry generates all atoms from Cs at (0.000, 0.000, 0.000), Cd at (0.000, 0.500, 0.500) and Pt at (0.500, 0.500, 0.500).

The density of states at the Fermi level is 0.34 states/eV per atom. Its formation energy is -0.17 eV/atom.

19.
Cs3RbCd | GGA-PBEsol | relaxed

The structure belongs to space group Pm-3m (No. 221); the cell edges are 7.485, 7.485 and 7.485 Å and the angles 90.00°, 90.00° and 90.00°. Symmetry generates all atoms from Cs at (0.000, 0.000, 0.500), Rb at (0.500, 0.500, 0.500) and Cd at (0.000, 0.000, 0.000).

The density of states at the Fermi level is 1.15 states/eV per atom. Its formation energy is 0.06 eV/atom.

20.
Cs2RbCd2 | GGA-PBEsol | relaxed

The structure belongs to space group I4/mmm (No. 139); the cell edges are 5.916, 5.916 and 15.304 Å and the angles 90.00°, 90.00° and 90.00°. Symmetry generates all atoms from Cs at (0.000, 0.500, 0.250), Rb at (0.000, 0.000, 0.000) and Cd at (0.000, 0.000, 0.409).

The density of states at the Fermi level is 0.73 states/eV per atom. The value obtained for the excess energy over the best structure of this formula in the dataset is 0.055 eV per atom. Its formation energy is 0.09 eV/atom.